(1)
Crystalline Pu2AgSn at its relaxed geometry. Source: the Alexandria database, functional PBE.

Cell: 7.461 7.461 7.461 Å, 90.00 90.00 90.00°
Space group Fm-3m (No. 225)
Asymmetric unit:
Pu 0.250 0.250 0.250 x8
Ag 0.000 0.000 0.000 x4
Sn 0.000 0.000 0.500 x4

Calculated values
* uncorrected energy: -143.90 eV per cell

***

(2)
Crystalline Pu2AgSn at its relaxed geometry. Source: the Alexandria database, functional PBE.

Cell: 8.063 8.101 3.117 Å, 90.00 90.00 90.00°
Space group Cmmm (No. 65)
Asymmetric unit:
Pu 0.250 0.250 0.000 x4
Ag 0.000 0.000 0.500 x2
Sn 0.000 0.500 0.500 x2

Calculated values
* uncorrected energy: -72.10 eV per cell

***

Record order is preserved below.
Theoretical density: 11.428; 11.656 g/cm³